VASP calculation (GGA-PBE) on crystalline CsTb2AuS4 at its relaxed geometry.

Cell lengths 4.1034, 14.2227, 14.2347 Å; angles 90.00, 90.00, 90.00 degrees
Last column: nearest neighbours and their distance in Å.
Space group Cmcm (No. 63)
Unique sites:
Cs: 0.0000 0.1158 0.2500 x4  6 S 3.28-3.51
Tb: 0.0000 0.3691 0.0652 x8  6 S 2.74-2.92
Au: 0.0000 0.1618 0.7500 x4  4 S 2.48-2.54
S: 0.0000 0.0000 0.0000 x4  4 Tb 2.92
S: 0.0000 0.2547 0.5977 x8  1 Au 2.54, 3 Tb 2.74-2.83
S: 0.0000 0.4357 0.2500 x4  2 Au 2.48

Properties
The calculation puts the size of the total moment at 0.0 μB/f.u. Its formation energy from raw total energies is -1524 meV per atom. The crystal system is orthorhombic. Its calculated total energy is -5.26 eV per atom.

VASP calculation (GGA-PBE) on crystalline ScNi at its relaxed geometry.

Cell lengths 7.5294, 7.5294, 7.5294 Å; angles 90.00, 90.00, 90.00 degrees
Last column: nearest neighbours and their distance in Å.
Space group I-43m (No. 217)
Unique sites:
Sc: 0.2024 0.2024 0.2024 x8  4 Ni 2.40-2.56
Ni: 0.1139 0.1139 0.8861 x8  4 Sc 2.40-2.56, 3 Ni 2.43

Properties
The calculation puts the size of the total moment at 0.0 μB/f.u. The density of states at the Fermi level comes out at 1.28 states/eV per atom. The crystal system is cubic. Its calculated total energy is -5.69 eV per atom.

VASP calculation (GGA-PBE) on crystalline Ce2NdPu3P6 at its relaxed geometry.

Cell lengths 7.0434, 12.1978, 7.0057 Å; angles 90.00, 109.58, 90.00 degrees
Last column: nearest neighbours and their distance in Å.
Space group C2/m (No. 12)
Unique sites:
Ce: 0.0000 0.1668 0.0000 x4  6 P 2.89-2.90
Nd: 0.0000 0.5000 0.0000 x2  6 P 2.93
Pu: 0.0000 0.0000 0.5000 x2  6 P 2.81-2.84
Pu: 0.0000 0.3343 0.5000 x4  6 P 2.82-2.84
P: 0.2446 0.1687 0.7401 x8  3 Pu 2.82-2.84, 2 Ce 2.89-2.90, 1 Nd 2.93
P: 0.2491 0.0000 0.2599 x4  3 Pu 2.81-2.84, 2 Ce 2.90, 1 Nd 2.93

Properties
The calculation puts the size of the total moment at 16.4 μB/f.u. The density of states at the Fermi level comes out at 2.51 states/eV per atom. The crystal system is monoclinic. Its calculated total energy is -9.01 eV per atom.

VASP calculation (GGA-PBE) on crystalline NpAg2Se3 at its relaxed geometry.

Cell lengths 8.5635, 13.3887, 5.1804 Å; angles 90.00, 90.00, 90.00 degrees
Last column: nearest neighbours and their distance in Å.
Space group Cmcm (No. 63)
Unique sites:
Np: 0.0000 0.2503 0.2500 x4  8 Se 2.92-3.26
Ag: 0.2188 0.0000 0.0000 x8  2 Ag 2.59, 4 Se 2.67-2.82
Se: 0.0000 0.1237 0.7500 x4  4 Ag 2.82, 2 Np 3.10
Se: 0.1875 0.3365 0.7500 x8  2 Ag 2.67, 1 Np 2.92

Properties
The calculation puts the size of the total moment at 3.3 μB/f.u. The density of states at the Fermi level comes out at 1.29 states/eV per atom. Its formation energy from raw total energies is -331 meV per atom. The crystal system is orthorhombic. For the distance to the lowest polymorph of the same formula, the calculation gives 1.47 eV/f.u. Its calculated total energy is -5.18 eV per atom.

Copy entry 1 word for word.
VASP calculation (GGA-PBE) on crystalline CsTb2AuS4 at its relaxed geometry.

Cell lengths 4.1034, 14.2227, 14.2347 Å; angles 90.00, 90.00, 90.00 degrees
Last column: nearest neighbours and their distance in Å.
Space group Cmcm (No. 63)
Unique sites:
Cs: 0.0000 0.1158 0.2500 x4  6 S 3.28-3.51
Tb: 0.0000 0.3691 0.0652 x8  6 S 2.74-2.92
Au: 0.0000 0.1618 0.7500 x4  4 S 2.48-2.54
S: 0.0000 0.0000 0.0000 x4  4 Tb 2.92
S: 0.0000 0.2547 0.5977 x8  1 Au 2.54, 3 Tb 2.74-2.83
S: 0.0000 0.4357 0.2500 x4  2 Au 2.48

Properties
The calculation puts the size of the total moment at 0.0 μB/f.u. Its formation energy from raw total energies is -1524 meV per atom. The crystal system is orthorhombic. Its calculated total energy is -5.26 eV per atom.

What is the size of the total moment in the first record? 0.0 μB/f.u.

What did the second record say?
VASP calculation (GGA-PBE) on crystalline ScNi at its relaxed geometry.

Cell lengths 7.5294, 7.5294, 7.5294 Å; angles 90.00, 90.00, 90.00 degrees
Last column: nearest neighbours and their distance in Å.
Space group I-43m (No. 217)
Unique sites:
Sc: 0.2024 0.2024 0.2024 x8  4 Ni 2.40-2.56
Ni: 0.1139 0.1139 0.8861 x8  4 Sc 2.40-2.56, 3 Ni 2.43

Properties
The calculation puts the size of the total moment at 0.0 μB/f.u. The density of states at the Fermi level comes out at 1.28 states/eV per atom. The crystal system is cubic. Its calculated total energy is -5.69 eV per atom.